Material: CuNiAgBi
Method: DFT, PBE
State: relaxed

```
16
Lattice="6.474 0.000 0.000 0.000 6.474 0.000 0.000 0.000 6.474" Properties=species:S:1:pos:R:3 pbc="T T T"
Cu 0.000 0.000 0.000
Cu 0.000 3.237 3.237
Cu 3.237 0.000 3.237
Cu 3.237 3.237 0.000
Ni 0.000 0.000 3.237
Ni 0.000 3.237 0.000
Ni 3.237 0.000 0.000
Ni 3.237 3.237 3.237
Ag 1.619 1.619 1.619
Ag 1.619 4.856 4.856
Ag 4.856 1.619 4.856
Ag 4.856 4.856 1.619
Bi 1.619 1.619 4.856
Bi 1.619 4.856 1.619
Bi 4.856 1.619 1.619
Bi 4.856 4.856 4.856
```

Calculated values
- M_tot (μB/cell) = 0.006
- calculated total energy (eV per atom) = -3.862

***

Material: TlZnNiMo
Method: DFT, PBE
State: relaxed

```
16
Lattice="6.379 0.000 0.000 0.000 6.379 0.000 0.000 0.000 6.379" Properties=species:S:1:pos:R:3 pbc="T T T"
Tl 0.000 0.000 0.000
Tl 0.000 3.190 3.190
Tl 3.190 0.000 3.190
Tl 3.190 3.190 0.000
Zn 0.000 0.000 3.190
Zn 0.000 3.190 0.000
Zn 3.190 0.000 0.000
Zn 3.190 3.190 3.190
Ni 1.595 1.595 1.595
Ni 1.595 4.785 4.785
Ni 4.785 1.595 4.785
Ni 4.785 4.785 1.595
Mo 1.595 1.595 4.785
Mo 1.595 4.785 1.595
Mo 4.785 1.595 1.595
Mo 4.785 4.785 4.785
```

Calculated values
- M_tot (μB/cell) = 8.152
- calculated total energy (eV per atom) = -4.474

***

Material: Li2YScGa2Ag2
Method: DFT, PBE
State: relaxed

```
8
Lattice="4.647 0.000 0.000 0.000 4.647 0.000 0.000 0.000 6.592" Properties=species:S:1:pos:R:3 pbc="T T T"
Li 0.000 2.323 1.567
Li 2.323 0.000 5.025
Y 0.000 0.000 3.296
Sc 2.323 2.323 0.000
Ga 0.000 0.000 0.000
Ga 2.323 2.323 3.296
Ag 0.000 2.323 5.028
Ag 2.323 0.000 1.564
```

Calculated values
- M_tot (μB/cell) = 0.002
- calculated total energy (eV per atom) = -3.903

***

Material: DyLuPO
Method: DFT, PBE
State: relaxed

```
8
Lattice="4.062 0.000 0.000 0.000 7.379 0.000 0.000 0.000 5.544" Properties=species:S:1:pos:R:3 pbc="T T T"
Dy 0.000 0.926 0.000
Dy 0.000 6.453 2.772
Lu 2.031 2.159 2.503
Lu 2.031 5.221 5.275
P 2.031 2.572 5.231
P 2.031 4.807 2.459
O 0.000 1.320 2.249
O 0.000 6.060 5.021
```

Calculated values
- M_tot (μB/cell) = 0.018
- calculated total energy (eV per atom) = -6.871

***

Material: SrAsAuO
Method: DFT, PBE
State: relaxed

```
8
Lattice="3.478 0.000 0.000 0.000 8.014 0.000 0.000 0.000 5.871" Properties=species:S:1:pos:R:3 pbc="T T T"
Sr 0.000 0.967 0.000
Sr 0.000 7.047 2.936
As 0.000 3.816 3.739
As 0.000 4.198 0.803
Au 1.739 2.176 2.906
Au 1.739 5.838 5.842
O 1.739 0.381 1.675
O 1.739 7.633 4.611
```

Calculated values
- calculated total energy (eV per atom) = -4.761

***

Material: TaCuAg2
Method: DFT, PBE
State: relaxed

```
16
Lattice="6.362 0.000 0.000 0.000 6.362 0.000 0.000 0.000 6.362" Properties=species:S:1:pos:R:3 pbc="T T T"
Ta 0.000 0.000 0.000
Ta 0.000 3.181 3.181
Ta 3.181 0.000 3.181
Ta 3.181 3.181 0.000
Cu 1.591 1.591 1.591
Cu 1.591 4.772 4.772
Cu 4.772 1.591 4.772
Cu 4.772 4.772 1.591
Ag 0.000 0.000 3.181
Ag 0.000 3.181 0.000
Ag 1.591 1.591 4.772
Ag 1.591 4.772 1.591
Ag 3.181 0.000 0.000
Ag 3.181 3.181 3.181
Ag 4.772 1.591 1.591
Ag 4.772 4.772 4.772
```

Calculated values
- energy of formation (meV per atom) = 383
- M_tot (μB/cell) = 0.023
- calculated total energy (eV per atom) = -4.922

***

Material: CoSnOsPt
Method: DFT, PBE
State: relaxed

```
16
Lattice="6.283 0.000 0.000 0.000 6.283 0.000 0.000 0.000 6.283" Properties=species:S:1:pos:R:3 pbc="T T T"
Co 0.000 0.000 0.000
Co 0.000 3.141 3.141
Co 3.141 0.000 3.141
Co 3.141 3.141 0.000
Sn 1.571 1.571 4.712
Sn 1.571 4.712 1.571
Sn 4.712 1.571 1.571
Sn 4.712 4.712 4.712
Os 0.000 0.000 3.141
Os 0.000 3.141 0.000
Os 3.141 0.000 0.000
Os 3.141 3.141 3.141
Pt 1.571 1.571 1.571
Pt 1.571 4.712 4.712
Pt 4.712 1.571 4.712
Pt 4.712 4.712 1.571
```

Calculated values
- M_tot (μB/cell) = 8.607
- calculated total energy (eV per atom) = -6.828

***

Material: Sr2TaN3
Method: DFT, PBE
State: relaxed

```
24
Lattice="3.000 -5.630 0.000 3.000 5.630 0.000 -0.508 0.000 12.553" Properties=species:S:1:pos:R:3 pbc="T T T"
Sr 1.021 2.282 10.777
Sr 1.169 1.303 5.314
Sr 0.915 -1.303 11.590
Sr 1.275 -2.282 4.500
Sr 4.217 2.282 8.052
Sr 4.577 1.303 0.962
Sr 4.323 -1.303 7.239
Sr 4.471 -2.282 1.776
Ta 1.263 0.018 8.326
Ta 1.517 -0.018 2.050
Ta 3.974 0.018 10.503
Ta 4.228 -0.018 4.226
N 2.619 5.622 9.415
N 1.247 1.051 0.490
N 1.666 1.846 7.854
N 0.994 -1.051 6.766
N 2.873 0.974 3.138
N 1.920 -1.846 1.577
N 3.571 1.846 10.975
N 2.619 -0.974 9.415
N 4.498 1.051 5.787
N 3.825 -1.846 4.699
N 4.244 -1.051 12.063
N 2.873 -5.622 3.138
```

Calculated values
- M_tot (μB/cell) = 0.001
- calculated total energy (eV per atom) = -7.844

***

Material: LuAgGeTeSe2
Method: DFT, PBE
State: relaxed

```
12
Lattice="1.999 -6.758 0.000 1.999 6.758 0.000 0.000 0.000 11.137" Properties=species:S:1:pos:R:3 pbc="T T T"
Lu 0.000 0.000 0.000
Lu 0.000 0.000 5.569
Ag 1.999 0.329 8.353
Ag 1.999 -0.329 2.784
Ge 1.999 3.969 2.784
Ge 1.999 -3.969 8.353
Te 1.999 5.115 8.353
Te 1.999 -5.115 2.784
Se 1.999 1.887 6.250
Se 1.999 1.887 10.456
Se 1.999 -1.887 0.681
Se 1.999 -1.887 4.888
```

Calculated values
- M_tot (μB/cell) = 0.004
- calculated total energy (eV per atom) = -4.340

***

Material: HfTlFeCu
Method: DFT, PBE
State: relaxed

```
16
Lattice="6.425 0.000 0.000 0.000 6.425 0.000 0.000 0.000 6.425" Properties=species:S:1:pos:R:3 pbc="T T T"
Hf 0.000 0.000 0.000
Hf 0.000 3.213 3.213
Hf 3.213 0.000 3.213
Hf 3.213 3.213 0.000
Tl 0.000 0.000 3.213
Tl 0.000 3.213 0.000
Tl 3.213 0.000 0.000
Tl 3.213 3.213 3.213
Fe 1.606 1.606 1.606
Fe 1.606 4.819 4.819
Fe 4.819 1.606 4.819
Fe 4.819 4.819 1.606
Cu 1.606 1.606 4.819
Cu 1.606 4.819 1.606
Cu 4.819 1.606 1.606
Cu 4.819 4.819 4.819
```

Calculated values
- M_tot (μB/cell) = 6.626
- calculated total energy (eV per atom) = -5.929

***

Material: LuCoSiAg
Method: DFT, PBE
State: relaxed

```
16
Lattice="6.362 0.000 0.000 0.000 6.362 0.000 0.000 0.000 6.362" Properties=species:S:1:pos:R:3 pbc="T T T"
Lu 0.000 0.000 0.000
Lu 0.000 3.181 3.181
Lu 3.181 0.000 3.181
Lu 3.181 3.181 0.000
Co 1.590 1.590 4.771
Co 1.590 4.771 1.590
Co 4.771 1.590 1.590
Co 4.771 4.771 4.771
Si 0.000 0.000 3.181
Si 0.000 3.181 0.000
Si 3.181 0.000 0.000
Si 3.181 3.181 3.181
Ag 1.590 1.590 1.590
Ag 1.590 4.771 4.771
Ag 4.771 1.590 4.771
Ag 4.771 4.771 1.590
```

Calculated values
- M_tot (μB/cell) = 0.096
- calculated total energy (eV per atom) = -5.095

***

Material: KZnFeTe3
Method: DFT, PBE
State: relaxed

```
24
Lattice="10.555 0.000 0.000 0.000 3.995 0.000 0.000 0.000 15.535" Properties=species:S:1:pos:R:3 pbc="T T T"
K 2.548 0.999 0.211
K 2.729 2.997 7.979
K 7.826 0.999 7.556
K 8.006 2.997 15.323
Zn 2.574 2.997 3.229
Zn 2.703 0.999 10.996
Zn 7.851 2.997 4.538
Zn 7.981 0.999 12.306
Fe 0.147 2.997 11.591
Fe 5.130 0.999 3.824
Fe 5.425 2.997 11.711
Fe 10.407 0.999 3.944
Te 0.182 2.997 2.212
Te 0.389 0.999 9.861
Te 2.468 0.999 4.953
Te 2.810 2.997 12.720
Te 4.888 2.997 2.094
Te 5.096 0.999 9.979
Te 5.459 2.997 5.556
Te 5.666 0.999 13.441
Te 7.745 0.999 2.815
Te 8.087 2.997 10.582
Te 10.166 2.997 5.674
Te 10.373 0.999 13.323
```

Calculated values
- M_tot (μB/cell) = 7.035
- calculated total energy (eV per atom) = -3.631

***

Material: Nd2SmZn4Si4
Method: DFT, PBE
State: relaxed

```
11
Lattice="-2.072 2.082 12.374 2.072 -2.082 12.374 2.072 2.082 -12.374" Properties=species:S:1:pos:R:3 pbc="T T T"
Nd 0.000 0.000 3.576
Nd 0.000 0.000 21.171
Sm 0.000 2.082 0.000
Zn 2.072 0.000 6.186
Zn 0.000 0.000 10.047
Zn 0.000 0.000 14.701
Zn 0.000 2.082 6.187
Si 2.072 0.000 1.171
Si 0.000 0.000 7.656
Si 0.000 0.000 17.091
Si 0.000 2.082 11.202
```

Calculated values
- M_tot (μB/cell) = 0.005
- calculated total energy (eV per atom) = -4.297

***

Material: DyPu
Method: DFT, PBE
State: relaxed

```
8
Lattice="6.008 0.000 0.000 0.000 6.008 0.000 0.000 0.000 6.008" Properties=species:S:1:pos:R:3 pbc="T T T"
Dy 0.000 0.000 0.000
Dy 0.000 3.004 3.004
Dy 3.004 0.000 3.004
Dy 3.004 3.004 0.000
Pu 1.502 1.502 4.506
Pu 1.502 4.506 1.502
Pu 4.506 1.502 1.502
Pu 4.506 4.506 4.506
```

Calculated values
- energy of formation (meV per atom) = 1985
- M_tot (μB/cell) = 22.822
- calculated total energy (eV per atom) = -7.379

***

Material: TbTlTe
Method: DFT, PBE
State: relaxed

```
12
Lattice="7.348 0.000 0.000 0.000 7.348 0.000 0.000 0.000 7.348" Properties=species:S:1:pos:R:3 pbc="T T T"
Tb 0.000 0.000 0.000
Tb 0.000 3.674 3.674
Tb 3.674 0.000 3.674
Tb 3.674 3.674 0.000
Tl 0.000 0.000 3.674
Tl 0.000 3.674 0.000
Tl 3.674 0.000 0.000
Tl 3.674 3.674 3.674
Te 1.837 1.837 1.837
Te 1.837 5.511 5.511
Te 5.511 1.837 5.511
Te 5.511 5.511 1.837
```

Calculated values
- M_tot (μB/cell) = 0.029
- calculated total energy (eV per atom) = -3.764

***

Material: Pr2Co2I
Method: DFT, PBE
State: relaxed

```
5
Lattice="4.000 0.000 0.000 -2.000 3.464 0.000 0.000 0.000 8.928" Properties=species:S:1:pos:R:3 pbc="T T T"
Pr 0.000 0.000 1.876
Pr 0.000 0.000 7.051
Co 0.000 2.309 0.000
Co 2.000 1.155 0.000
I 2.000 1.155 4.464
```

Calculated values
- M_tot (μB/cell) = 0.044
- calculated total energy (eV per atom) = -5.620

***

Material: Ge4Ir3Pd
Method: DFT, PBE
State: relaxed

```
8
Lattice="5.651 0.000 0.000 0.000 3.536 0.000 -0.044 0.000 6.407" Properties=species:S:1:pos:R:3 pbc="T T T"
Ge 0.000 0.000 0.000
Ge 0.615 1.768 3.227
Ge 2.705 0.000 2.292
Ge 3.372 1.768 5.442
Ir 1.680 1.768 0.833
Ir 1.679 0.000 4.635
Ir 4.508 0.000 4.078
Pd 4.492 1.768 1.459
```

Calculated values
- M_tot (μB/cell) = 0.003
- calculated total energy (eV per atom) = -6.658

***

Material: SrZn3O4
Method: DFT, PBE
State: relaxed

```
8
Lattice="4.581 0.000 0.000 0.000 4.581 0.000 0.000 0.000 4.581" Properties=species:S:1:pos:R:3 pbc="T T T"
Sr 0.000 0.000 0.000
Zn 0.000 2.290 2.290
Zn 2.290 0.000 2.290
Zn 2.290 2.290 0.000
O 0.000 0.000 2.290
O 0.000 2.290 0.000
O 2.290 0.000 0.000
O 2.290 2.290 2.290
```

Calculated values
- calculated total energy (eV per atom) = -4.565

***

Material: Y2NbAg
Method: DFT, PBE
State: relaxed

```
16
Lattice="7.157 0.000 0.000 0.000 7.157 0.000 0.000 0.000 7.157" Properties=species:S:1:pos:R:3 pbc="T T T"
Y 0.000 0.000 0.000
Y 0.000 3.579 3.579
Y 1.789 1.789 1.789
Y 1.789 5.368 5.368
Y 3.579 0.000 3.579
Y 3.579 3.579 0.000
Y 5.368 1.789 5.368
Y 5.368 5.368 1.789
Nb 0.000 0.000 3.579
Nb 0.000 3.579 0.000
Nb 3.579 0.000 0.000
Nb 3.579 3.579 3.579
Ag 1.789 1.789 5.368
Ag 1.789 5.368 1.789
Ag 5.368 1.789 1.789
Ag 5.368 5.368 5.368
```

Calculated values
- energy of formation (meV per atom) = 385
- M_tot (μB/cell) = 7.503
- calculated total energy (eV per atom) = -6.077

***

Material: ScCdCoSn
Method: DFT, PBE
State: relaxed

```
16
Lattice="6.601 0.000 0.000 0.000 6.601 0.000 0.000 0.000 6.601" Properties=species:S:1:pos:R:3 pbc="T T T"
Sc 0.000 0.000 0.000
Sc 0.000 3.300 3.300
Sc 3.300 0.000 3.300
Sc 3.300 3.300 0.000
Cd 1.650 1.650 1.650
Cd 1.650 4.951 4.951
Cd 4.951 1.650 4.951
Cd 4.951 4.951 1.650
Co 1.650 1.650 4.951
Co 1.650 4.951 1.650
Co 4.951 1.650 1.650
Co 4.951 4.951 4.951
Sn 0.000 0.000 3.300
Sn 0.000 3.300 0.000
Sn 3.300 0.000 0.000
Sn 3.300 3.300 3.300
```

Calculated values
- M_tot (μB/cell) = 0.108
- calculated total energy (eV per atom) = -4.666